This record from the Alexandria database describes a relaxed Cu2NiSnSe4 crystal. The functional is PBE.

a = 5.6523 Å, b = 5.6523 Å, c = 11.3835 Å
α = 90.00°, β = 90.00°, γ = 90.00°
Space group I-4 (No. 82)
Inequivalent atoms, fractional coordinates:
Cu (0.0000, 0.0000, 0.0000) (multiplicity 2)
Cu (0.0000, 0.5000, 0.2500) (multiplicity 2)
Ni (0.0000, 0.0000, 0.5000) (multiplicity 2)
Sn (0.0000, 0.5000, 0.7500) (multiplicity 2)
Se (0.2258, 0.2616, 0.3865) (multiplicity 8)

Output
- formation energy without anion corrections (eV/atom) = -0.2546
- E (eV/atom) = -4.2440
- total magnetization (μB per atom) = 0.10
- volume (Å³/atom) = 22.73